# NaCl

Crystalline NaCl at its relaxed geometry (GGA-PBEsol, Alexandria).

a = 4.7165 Å, b = 4.7165 Å, c = 5.5691 Å
α = 90.00°, β = 90.00°, γ = 120.00°
With the nearest neighbours (Å) after each atom.
Space group P6_3/mmc (No. 194)
Inequivalent atoms, fractional coordinates:
Na1 0.3333 0.6667 0.2500 (multiplicity 2)  5 Cl 2.72-2.78
Cl1 0.3333 0.6667 0.7500 (multiplicity 2)  5 Na 2.72-2.78

VASP energy (eV/cell): -13.80
Spin magnetization (μB/f.u.): 0.03